Record 1
Entry from Alexandria via LeMat-Bulk: an optimized crystal structure of Nb3MoPt (PBE).

Summary:
Symmetry = No. 221
V = 113.9 Å³/cell
ΔH_f (0 K) = 1.4149 eV/atom

a b c (Å): 4.8473 4.8473 4.8473
angles (deg): 90.00 90.00 90.00
Last column: nearest neighbours and their distance in Å.
Positions (direct):
Nb 0.0000 0.5000 0.0000  2 Pt 2.42
Mo 0.5000 0.5000 0.5000  12 Nb 3.43
Pt 0.0000 0.0000 0.0000  6 Nb 2.42
Nb 0.5000 0.0000 0.0000  2 Pt 2.42
Nb 0.0000 0.0000 0.5000  2 Pt 2.42

Record 2
Entry from Alexandria via LeMat-Bulk: an optimized crystal structure of Li3Ga4Au (PBE).

Summary:
Symmetry = No. 71
V = 145.5 Å³/cell
ΔH_f (0 K) = -0.2576 eV/atom

a b c (Å): 4.3362 5.8031 6.8217
angles (deg): 115.17 108.53 90.00
Last column: nearest neighbours and their distance in Å.
Positions (direct):
Ga 0.3208 0.5499 0.6416  1 Au 2.60, 3 Li 2.62-2.75, 3 Ga 2.66-2.73
Li 0.8742 0.8743 0.7485  2 Au 2.61, 6 Ga 2.62-2.75, 1 Li 2.91
Li 0.0000 0.5000 0.0000  4 Li 3.25, 8 Ga 3.28, 4 Au 3.62
Li 0.1258 0.1257 0.2515  2 Au 2.61, 6 Ga 2.62-2.75, 1 Li 2.91
Ga 0.6792 0.9083 0.3584  1 Au 2.60, 3 Li 2.62-2.75, 3 Ga 2.66-2.73
Au 0.5000 0.0000 0.0000  4 Ga 2.60, 4 Li 2.61
Ga 0.3208 0.0917 0.6416  1 Au 2.60, 3 Li 2.62-2.75, 3 Ga 2.66-2.73
Ga 0.6792 0.4501 0.3584  1 Au 2.60, 3 Li 2.62-2.75, 3 Ga 2.66-2.73

Record 3
Entry from Alexandria via LeMat-Bulk: an optimized crystal structure of Cu2SiTe (PBE).

Summary:
Uncorrected formation energy = 0.278 eV per atom
Symmetry = No. 25
V = 70.9 Å³/cell

a b c (Å): 2.9760 3.2725 7.2774
angles (deg): 90.00 90.00 90.00
Last column: nearest neighbours and their distance in Å.
Positions (direct):
Cu 0.5000 0.5000 0.2431  4 Si 2.50, 4 Cu 2.60
Si 0.0000 0.0000 0.4038  5 Cu 2.50-2.53
Te 0.5000 0.5000 0.7975  5 Cu 2.90-3.24, 2 Te 2.98
Cu 0.0000 0.0000 0.0557  1 Si 2.53, 4 Cu 2.60

Which of these has the lowest V? Cu2SiTe